1.
First-principles (PBEsol) data for a geometry-optimized CdIn structure, as listed in Alexandria.

## Properties
**Raw total energy**: -16.34 eV per cell
**Formation energy**: 47 meV per atom

```
data_CdIn
_symmetry_space_group_name_H-M 'I m m a'
_symmetry_Int_Tables_number 74
_symmetry_space_group_name_Hall '-I 2b 2'
_cell_length_a 3.129
_cell_length_b 5.470
_cell_length_c 11.002
_cell_angle_alpha 90.00
_cell_angle_beta 90.00
_cell_angle_gamma 90.00
loop_
_atom_site_label
_atom_site_type_symbol
_atom_site_fract_x
_atom_site_fract_y
_atom_site_fract_z
Cd1 Cd 0.000 0.250 0.132
In1 In 0.000 0.250 0.618
```

2.
First-principles (PBEsol) data for a geometry-optimized LiNbSb3 structure, as listed in Alexandria.

## Properties
**Raw total energy**: -22.89 eV per cell
**Raw formation energy**: 0.71 eV/atom

```
data_LiNbSb3
_symmetry_space_group_name_H-M 'P m -3 m'
_symmetry_Int_Tables_number 221
_symmetry_space_group_name_Hall '-P 4 2 3'
_cell_length_a 4.849
_cell_length_b 4.849
_cell_length_c 4.849
_cell_angle_alpha 90.00
_cell_angle_beta 90.00
_cell_angle_gamma 90.00
loop_
_atom_site_label
_atom_site_type_symbol
_atom_site_fract_x
_atom_site_fract_y
_atom_site_fract_z
Li1 Li 0.000 0.000 0.000
Nb1 Nb 0.500 0.500 0.500
Sb1 Sb 0.000 0.000 0.500
```

3.
First-principles (PBEsol) data for a geometry-optimized Li2PW structure, as listed in Alexandria.

## Properties
**Raw total energy**: -88.06 eV per cell
**Formation energy**: 379 meV per atom

```
data_Li2PW
_symmetry_space_group_name_H-M 'I -4 2 d'
_symmetry_Int_Tables_number 122
_symmetry_space_group_name_Hall 'I -4 2bw'
_cell_length_a 6.930
_cell_length_b 6.930
_cell_length_c 4.660
_cell_angle_alpha 90.00
_cell_angle_beta 90.00
_cell_angle_gamma 90.00
loop_
_atom_site_label
_atom_site_type_symbol
_atom_site_fract_x
_atom_site_fract_y
_atom_site_fract_z
Li1 Li 0.210 0.250 0.125
P1 P 0.000 0.000 0.000
W1 W 0.000 0.000 0.500
```

4.
First-principles (PBEsol) data for a geometry-optimized LiMg2Al structure, as listed in Alexandria.

## Properties
**Raw total energy**: -38.38 eV per cell
**Formation energy**: -26 meV per atom

```
data_LiMg2Al
_symmetry_space_group_name_H-M 'F -4 3 m'
_symmetry_Int_Tables_number 216
_symmetry_space_group_name_Hall 'F -4 2 3'
_cell_length_a 6.721
_cell_length_b 6.721
_cell_length_c 6.721
_cell_angle_alpha 90.00
_cell_angle_beta 90.00
_cell_angle_gamma 90.00
loop_
_atom_site_label
_atom_site_type_symbol
_atom_site_fract_x
_atom_site_fract_y
_atom_site_fract_z
Li1 Li 0.000 0.000 0.000
Mg1 Mg 0.000 0.000 0.500
Mg2 Mg 0.250 0.250 0.750
Al1 Al 0.250 0.250 0.250
```

5.
First-principles (PBEsol) data for a geometry-optimized NaNiPS2 structure, as listed in Alexandria.

## Properties
**Raw total energy**: -14.40 eV per cell
**Raw formation energy**: 1.54 eV/atom

```
data_NaNiPS2
_symmetry_space_group_name_H-M 'P 4/m m m'
_symmetry_Int_Tables_number 123
_symmetry_space_group_name_Hall '-P 4 2'
_cell_length_a 4.697
_cell_length_b 4.697
_cell_length_c 4.666
_cell_angle_alpha 90.00
_cell_angle_beta 90.00
_cell_angle_gamma 90.00
loop_
_atom_site_label
_atom_site_type_symbol
_atom_site_fract_x
_atom_site_fract_y
_atom_site_fract_z
Na1 Na 0.000 0.000 0.000
Ni1 Ni 0.500 0.500 0.500
P1 P 0.000 0.000 0.500
S1 S 0.000 0.500 0.000
```

6.
First-principles (PBEsol) data for a geometry-optimized CrGeW2N structure, as listed in Alexandria.

## Properties
**Raw total energy**: -51.43 eV per cell
**Raw formation energy**: -0.02 eV/atom

```
data_CrGeW2N
_symmetry_space_group_name_H-M 'P 4/m m m'
_symmetry_Int_Tables_number 123
_symmetry_space_group_name_Hall '-P 4 2'
_cell_length_a 4.073
_cell_length_b 4.073
_cell_length_c 3.843
_cell_angle_alpha 90.00
_cell_angle_beta 90.00
_cell_angle_gamma 90.00
loop_
_atom_site_label
_atom_site_type_symbol
_atom_site_fract_x
_atom_site_fract_y
_atom_site_fract_z
Cr1 Cr 0.000 0.000 0.000
Ge1 Ge 0.500 0.500 0.000
W1 W 0.000 0.500 0.500
N1 N 0.000 0.000 0.500
```